(1)
BaNiPb (PBE-GGA, relaxed); E_tot = -11.3 eV/cell; total moment = 0.00 μB per formula unit; crystal system = cubic
1.0
5.046 0.000 0.000
2.523 4.370 0.000
2.523 1.457 4.120
Ba Ni Pb
1 1 1
direct
0.500 0.500 0.500 Ba
0.750 0.750 0.750 Ni
0.000 0.000 0.000 Pb

(2)
Pr2Co3As4Ir (PBE-GGA, relaxed); E_tot = -65.8 eV/cell; total moment = 0.79 μB per formula unit; crystal system = tetragonal
1.0
4.216 0.000 0.000
0.000 4.216 0.000
0.000 0.000 9.600
Pr Co As Ir
2 3 4 1
direct
0.500 0.000 0.243 Pr
0.000 0.500 0.757 Pr
0.000 0.000 0.500 Co
0.500 0.000 0.888 Co
0.000 0.500 0.112 Co
0.500 0.500 0.000 As
0.000 0.000 0.000 As
0.500 0.000 0.641 As
0.000 0.500 0.359 As
0.500 0.500 0.500 Ir

(3)
HgPt2Rh (PBE-GGA, relaxed); E_tot = -19.5 eV/cell; total moment = 0.94 μB per formula unit; crystal system = tetragonal
1.0
2.857 0.000 0.000
0.000 2.857 0.000
0.000 0.000 8.104
Hg Pt Rh
1 2 1
direct
0.500 0.500 0.500 Hg
0.000 0.000 0.769 Pt
0.000 0.000 0.231 Pt
0.500 0.500 0.000 Rh

(4)
LaBSeN2 (PBE-GGA, relaxed); total moment = 0.55 μB per formula unit; offset from the most stable computed form = 0.00 eV per formula unit; crystal system = tetragonal
1.0
4.010 0.000 0.000
0.000 4.010 0.000
0.000 0.000 4.204
B N Se La
1 2 1 1
direct
0.000 0.000 0.000 B
0.000 0.500 0.000 N
0.500 0.000 0.000 N
0.000 0.000 0.500 Se
0.500 0.500 0.500 La

(5)
KMgRe (PBE-GGA, relaxed); total moment = 3.59 μB per formula unit; offset from the most stable computed form = 4.34 eV per formula unit; crystal system = cubic
1.0
5.155 0.000 0.000
2.577 4.464 0.000
2.577 1.488 4.209
K Mg Re
1 1 1
direct
0.750 0.750 0.750 K
0.000 0.000 0.000 Mg
0.500 0.500 0.500 Re

(6)
Tb2Mg2Ge3 (PBE-GGA, relaxed); E_tot = -60.5 eV/cell; total moment = 0.00 μB per formula unit; crystal system = monoclinic
1.0
4.254 0.000 0.943
1.999 7.651 1.047
0.021 -0.234 9.972
Tb Mg Ge
4 4 6
direct
0.270 0.133 0.327 Tb
0.730 0.867 0.673 Tb
0.396 0.260 0.948 Tb
0.604 0.740 0.052 Tb
0.052 0.221 0.674 Mg
0.948 0.779 0.326 Mg
0.409 0.520 0.662 Mg
0.591 0.480 0.338 Mg
0.085 0.952 0.878 Ge
0.915 0.048 0.122 Ge
0.167 0.494 0.171 Ge
0.833 0.506 0.829 Ge
0.362 0.793 0.482 Ge
0.638 0.207 0.518 Ge

(7)
EuPdPb2 (PBE-GGA, relaxed); total moment = 7.01 μB per formula unit; offset from the most stable computed form = 0.05 eV per formula unit; crystal system = cubic
1.0
-1.544 -2.718 4.187
3.550 -2.041 3.245
0.619 2.000 4.787
Pb Eu Pd
2 1 1
direct
0.250 0.250 0.250 Pb
0.750 0.750 0.750 Pb
0.000 0.000 0.000 Eu
0.500 0.500 0.500 Pd

(8)
Ba2PmMnS5 (PBE-GGA, relaxed); E_tot = -106.6 eV/cell; total moment = 4.00 μB per formula unit; crystal system = orthorhombic
1.0
-3.854 1.532 0.685
-1.404 -6.297 -6.713
-2.041 -9.171 9.030
Ba Pm Mn S
4 2 2 10
direct
0.875 0.750 0.840 Ba
0.124 0.247 0.694 Ba
0.125 0.250 0.340 Ba
0.876 0.753 0.194 Ba
0.801 0.603 0.533 Pm
0.199 0.397 0.033 Pm
0.558 0.115 0.922 Mn
0.442 0.885 0.422 Mn
0.347 0.694 0.017 S
0.683 0.366 0.880 S
0.500 0.999 0.772 S
0.304 0.608 0.674 S
0.963 0.926 0.492 S
0.653 0.306 0.517 S
0.317 0.634 0.380 S
0.500 0.001 0.272 S
0.696 0.392 0.174 S
0.037 0.074 0.992 S

Values for DOS(E_F), states/eV per cell, ordered as above
5.03; 5.38; 4.66; 3.73; 4.26; 6.31; 0.73; 6.52